No. 1
{"formula": "Sr2LiCaH", "functional": "PBE", "state": "optimized geometry", "lattice_angstrom": [[5.7834, 0.0000, 0.0000], [0.0000, 5.7834, 0.0000], [0.0000, 0.0000, 4.8172]], "species": ["Sr", "Sr", "Ca", "H", "Li"], "frac_coords": [[0.0000, 0.5000, 0.0000], [0.5000, 0.0000, 0.0000], [0.0000, 0.0000, 0.5000], [0.0000, 0.0000, 0.0000], [0.5000, 0.5000, 0.5000]], "total_magnetization_mub_per_atom": 0.0000, "relative_energy_kj_per_mol_atoms": 0.0, "dos_ef_per_ev_cell": 3.67, "rho_g_cm3": 2.3, "sg": "No. 123"}

No. 2
{"formula": "SrLi2CaH", "functional": "PBE", "state": "optimized geometry", "lattice_angstrom": [[5.4116, 0.0000, 0.0000], [0.0000, 5.4116, 0.0000], [0.0000, 0.0000, 4.7032]], "species": ["Sr", "Ca", "H", "Li", "Li"], "frac_coords": [[0.0000, 0.0000, 0.5000], [0.5000, 0.5000, 0.5000], [0.0000, 0.0000, 0.0000], [0.0000, 0.5000, 0.0000], [0.5000, 0.0000, 0.0000]], "total_magnetization_mub_per_atom": 0.0000, "dos_ef_per_ev_cell": 3.01, "rho_g_cm3": 1.7, "sg": "No. 123"}

Taking the records one at a time from the top gives DFT total energy values of -11.1; -10.8 eV per cell.